# BaMg6CdO8 (GGA-PBE, optimized geometry)
data_BaMg6CdO8
_chemical_formula_sum 'Ba1 Mg6 Cd1 O8'
_space_group_name_H-M_alt 'P 4/m m m'
_space_group_IT_number 123
_space_group_name_Hall '-P 4 2'
_cell_length_a 4.701
_cell_length_b 4.701
_cell_length_c 9.037
_cell_angle_alpha 90.00
_cell_angle_beta 90.00
_cell_angle_gamma 90.00
loop_
_atom_site_label
_atom_site_type_symbol
_atom_site_fract_x
_atom_site_fract_y
_atom_site_fract_z
Ba1 Ba 0.000 0.000 0.000
Mg1 Mg 0.000 0.000 0.500
Mg2 Mg 0.000 0.500 0.274
Mg3 Mg 0.500 0.500 0.500
Cd1 Cd 0.500 0.500 0.000
O1 O 0.000 0.000 0.284
O2 O 0.000 0.500 0.000
O3 O 0.000 0.500 0.500
O4 O 0.500 0.500 0.271
# ΔE to the lowest computed polymorph = 0 meV/atom
# Formation energy (no corrections) = -2.13 eV/atom
# DFT total energy = -86.17 eV for the cell shown